1.
FeCuAg | PBE | relaxed

```
FeCuAg
1.0
4.1174 0.0000 0.0000
2.0587 3.5658 0.0000
2.0587 1.1886 3.3619
Ag Cu Fe
1 1 1
direct
0.5000 0.5000 0.5000
0.7500 0.7500 0.7500
0.0000 0.0000 0.0000
```

Its formation energy is 0.66 eV/atom. For the magnetization, the calculation gives 2.97 μB per cell. Its space group is F-43m (216). For the energy above the most stable polymorph in this dataset, the calculation gives 1.51 eV/f.u.

---

2.
Fe3CuAg | PBE | relaxed

```
Fe3CuAg
1.0
4.3981 0.0000 0.0000
0.0000 4.3981 0.0000
0.0000 0.0000 4.3981
Fe Ag Cu
3 1 1
direct
0.0000 0.0000 0.5000
0.5000 0.0000 0.0000
0.0000 0.5000 0.0000
0.5000 0.5000 0.5000
0.0000 0.0000 0.0000
```

Its formation energy is 1.13 eV/atom. For the magnetization, the calculation gives 9.04 μB per cell. Its space group is Pm-3m (221). For the energy above the most stable polymorph in this dataset, the calculation gives 0.00 eV/f.u.

---

3.
Fe2CuAg | PBE | relaxed

```
Fe2CuAg
1.0
4.7317 0.0175 -0.0188
3.9739 2.5686 -0.0188
0.7928 0.2355 4.4835
Ag Fe Cu
1 2 1
direct
0.7500 0.7500 0.7500
0.9956 0.9956 0.0179
0.5044 0.5044 0.4821
0.2500 0.2500 0.2500
```

Its formation energy is 0.31 eV/atom. For the magnetization, the calculation gives 5.42 μB per cell. Its space group is C2/m (12). For the energy above the most stable polymorph in this dataset, the calculation gives 0.38 eV/f.u.

---

4.
Fe2CuAg | PBE | relaxed

```
Fe2CuAg
1.0
4.5243 -0.0085 0.0000
1.2467 4.3491 0.0000
-2.8855 -2.1703 2.7263
Fe Cu Ag
2 1 1
direct
0.2500 0.7500 0.5000
0.0000 0.0000 0.0000
0.7500 0.2500 0.5000
0.5000 0.5000 0.0000
```

Its formation energy is 0.34 eV/atom. For the magnetization, the calculation gives 5.18 μB per cell. Its space group is I-4m2 (119). For the energy above the most stable polymorph in this dataset, the calculation gives 0.49 eV/f.u.